1.
Here is HoEr2Hf after structural relaxation from the Alexandria database. Energies are from PBE.

a = 4.8115 Å, b = 4.8072 Å, c = 4.8072 Å
α = 90.00°, β = 90.00°, γ = 90.00°
With the nearest neighbours (Å) after each atom.
Fractional positions:
Hf 0.5000 0.0000 0.0000  4 Ho 3.40, 8 Er 3.40
Ho 0.5000 0.5000 0.5000  4 Hf 3.40, 8 Er 3.40
Er 0.0000 0.0000 0.5000  4 Er 3.40, 4 Hf 3.40, 4 Ho 3.40
Er 0.0000 0.5000 0.0000  4 Er 3.40, 4 Hf 3.40, 4 Ho 3.40

Properties
- Formation enthalpy at 0 K: 132 meV per atom
- SG: P4/mmm
- ΔE to the lowest computed polymorph: 0.0351 eV per atom

=====

2.
Here is Ho6Er12Hf after structural relaxation from the Alexandria database. Energies are from PBE.

a = 9.6143 Å, b = 9.6143 Å, c = 9.6143 Å
α = 111.32°, β = 111.32°, γ = 111.32°
With the nearest neighbours (Å) after each atom.
Fractional positions:
Ho 0.6436 0.2636 0.6436  6 Er 3.28-3.60, 2 Ho 3.50
Ho 0.6436 0.6436 0.2636  6 Er 3.28-3.60, 2 Ho 3.50
Ho 0.2636 0.6436 0.6436  6 Er 3.28-3.60, 2 Ho 3.50
Ho 0.3564 0.3564 0.7364  6 Er 3.28-3.60, 2 Ho 3.50
Ho 0.3564 0.7364 0.3564  6 Er 3.28-3.60, 2 Ho 3.50
Ho 0.7364 0.3564 0.3564  6 Er 3.28-3.60, 2 Ho 3.50
Er 0.8882 0.1118 0.5000  5 Er 3.27-3.55, 4 Ho 3.45-3.60
Er 0.2446 0.9823 0.2446  1 Hf 2.77
Er 0.2446 0.2446 0.9823  1 Hf 2.77
Er 0.0177 0.7554 0.7554  1 Hf 2.77
Er 0.7554 0.7554 0.0177  1 Hf 2.77
Er 0.7554 0.0177 0.7554  1 Hf 2.77
Er 0.5000 0.8882 0.1118  5 Er 3.27-3.55, 4 Ho 3.45-3.60
Er 0.1118 0.5000 0.8882  5 Er 3.27-3.55, 4 Ho 3.45-3.60
Er 0.1118 0.8882 0.5000  5 Er 3.27-3.55, 4 Ho 3.45-3.60
Er 0.5000 0.1118 0.8882  5 Er 3.27-3.55, 4 Ho 3.45-3.60
Er 0.8882 0.5000 0.1118  5 Er 3.27-3.55, 4 Ho 3.45-3.60
Er 0.9823 0.2446 0.2446  1 Hf 2.77
Hf 0.0000 0.0000 0.0000  6 Er 2.77

Properties
- Formation enthalpy at 0 K: 445 meV per atom
- SG: R-3m

=====

3.
Here is HoErHfMg after structural relaxation from the Alexandria database. Energies are from PBE.

a = 5.2878 Å, b = 5.2878 Å, c = 5.2878 Å
α = 60.00°, β = 60.00°, γ = 60.00°
With the nearest neighbours (Å) after each atom.
Fractional positions:
Mg 0.0000 0.0000 0.0000  4 Ho 3.24, 4 Er 3.24
Hf 0.5000 0.5000 0.5000  4 Ho 3.24, 4 Er 3.24
Ho 0.2500 0.2500 0.2500  4 Mg 3.24, 4 Hf 3.24
Er 0.7500 0.7500 0.7500  4 Hf 3.24, 4 Mg 3.24

Properties
- Formation enthalpy at 0 K: 188 meV per atom
- SG: F-43m

=====

4.
Here is HoErHf2N4 after structural relaxation from the Alexandria database. Energies are from PBE.

a = 3.2968 Å, b = 5.7746 Å, c = 5.7021 Å
α = 70.70°, β = 90.00°, γ = 90.00°
With the nearest neighbours (Å) after each atom.
Fractional positions:
Ho 0.0000 0.5000 0.5000  6 N 2.41
Er 0.5000 0.5000 0.0000  6 N 2.41
Hf 0.0000 0.0000 0.0000  6 N 2.27
Hf 0.5000 0.0000 0.5000  6 N 2.28
N 0.0000 0.7714 0.7439  3 Hf 2.27-2.28, 2 Er 2.41, 1 Ho 2.41
N 0.0000 0.2286 0.2561  3 Hf 2.27-2.28, 2 Er 2.41, 1 Ho 2.41
N 0.5000 0.7721 0.2420  3 Hf 2.27-2.28, 1 Er 2.41, 2 Ho 2.41
N 0.5000 0.2279 0.7580  3 Hf 2.27-2.28, 1 Er 2.41, 2 Ho 2.41

Properties
- SG: P2/m
- Total DFT energy (no corrections): -76.9 eV/cell

=====

5.
Here is HoEr2Hf3N6 after structural relaxation from the Alexandria database. Energies are from PBE.

a = 3.2924 Å, b = 6.6353 Å, c = 7.4205 Å
α = 103.65°, β = 102.82°, γ = 90.00°
With the nearest neighbours (Å) after each atom.
Fractional positions:
Ho 0.5000 0.0000 0.0000  6 N 2.41-2.42
Er 0.8333 0.6667 0.6666  6 N 2.40-2.41
Er 0.1667 0.3333 0.3334  6 N 2.40-2.41
Hf 0.5000 0.5000 0.0000  6 N 2.27-2.28
Hf 0.8332 0.1666 0.6665  6 N 2.27-2.28
Hf 0.1668 0.8334 0.3335  6 N 2.27-2.28
N 0.3282 0.9278 0.6564  3 Hf 2.27, 2 Er 2.40, 1 Ho 2.42
N 0.6622 0.5948 0.3244  3 Hf 2.27-2.28, 3 Er 2.40-2.41
N 0.6718 0.0722 0.3436  3 Hf 2.27, 2 Er 2.40, 1 Ho 2.42
N 0.9954 0.2630 0.9908  3 Hf 2.27-2.28, 1 Er 2.41, 2 Ho 2.41
N 0.0046 0.7370 0.0092  3 Hf 2.27-2.28, 1 Er 2.41, 2 Ho 2.41
N 0.3378 0.4052 0.6756  3 Hf 2.27-2.28, 3 Er 2.40-2.41

Properties
- SG: C2/m
- Total DFT energy (no corrections): -115.4 eV/cell

=====

6.
Here is Ho2ErHfN4 after structural relaxation from the Alexandria database. Energies are from PBE.

a = 3.3637 Å, b = 5.8371 Å, c = 5.8421 Å
α = 109.23°, β = 90.00°, γ = 90.00°
With the nearest neighbours (Å) after each atom.
Fractional positions:
Ho 0.5000 0.0000 0.5000  6 N 2.39
Ho 0.0000 0.5000 0.5000  6 N 2.46-2.47
Er 0.5000 0.5000 0.0000  6 N 2.38
Hf 0.0000 0.0000 0.0000  6 N 2.29-2.31
N 0.5000 0.2345 0.2335  2 Hf 2.31, 1 Er 2.38, 3 Ho 2.39-2.46
N 0.5000 0.7655 0.7665  2 Hf 2.31, 1 Er 2.38, 3 Ho 2.39-2.46
N 0.0000 0.2414 0.7606  1 Hf 2.29, 2 Er 2.38, 3 Ho 2.39-2.47
N 0.0000 0.7586 0.2394  1 Hf 2.29, 2 Er 2.38, 3 Ho 2.39-2.47

Properties
- SG: P2/m
- Total DFT energy (no corrections): -71.4 eV/cell

=====

7.
Here is HoEr3Hf2N6 after structural relaxation from the Alexandria database. Energies are from PBE.

a = 3.3378 Å, b = 6.7121 Å, c = 7.4776 Å
α = 103.13°, β = 102.90°, γ = 90.00°
With the nearest neighbours (Å) after each atom.
Fractional positions:
Ho 0.5000 0.0000 0.0000  6 N 2.38-2.39
Er 0.5000 0.5000 0.0000  6 N 2.36-2.44
Er 0.8335 0.1669 0.6670  6 N 2.34-2.47
Er 0.1665 0.8331 0.3330  6 N 2.34-2.47
Hf 0.8330 0.6658 0.6659  6 N 2.26-2.30
Hf 0.1670 0.3342 0.3341  6 N 2.26-2.30
N 0.3315 0.8993 0.6630  2 Hf 2.29, 3 Er 2.34-2.45, 1 Ho 2.39
N 0.6717 0.5722 0.3434  3 Hf 2.29-2.30, 3 Er 2.43-2.44
N 0.6685 0.1007 0.3370  2 Hf 2.29, 3 Er 2.34-2.45, 1 Ho 2.39
N 0.0077 0.2560 0.0154  1 Hf 2.26, 3 Er 2.36-2.47, 2 Ho 2.38
N 0.9923 0.7440 0.9846  1 Hf 2.26, 3 Er 2.36-2.47, 2 Ho 2.38
N 0.3283 0.4278 0.6566  3 Hf 2.29-2.30, 3 Er 2.43-2.44

Properties
- SG: C2/m
- Total DFT energy (no corrections): -109.9 eV/cell

=====

8.
Here is HoEr2HfP4 after structural relaxation from the Alexandria database. Energies are from PBE.

a = 3.8887 Å, b = 6.7458 Å, c = 6.7440 Å
α = 109.26°, β = 90.00°, γ = 90.00°
With the nearest neighbours (Å) after each atom.
Fractional positions:
Ho 0.5000 0.5000 0.0000  6 P 2.76
Er 0.5000 0.0000 0.5000  6 P 2.75
Er 0.0000 0.5000 0.5000  6 P 2.82
Hf 0.0000 0.0000 0.0000  6 P 2.68-2.69
P 0.5000 0.2380 0.2388  2 Hf 2.69, 3 Er 2.75-2.82, 1 Ho 2.76
P 0.5000 0.7620 0.7612  2 Hf 2.69, 3 Er 2.75-2.82, 1 Ho 2.76
P 0.0000 0.2429 0.7555  1 Hf 2.68, 3 Er 2.75-2.82, 2 Ho 2.76
P 0.0000 0.7571 0.2445  1 Hf 2.68, 3 Er 2.75-2.82, 2 Ho 2.76

Properties
- Formation enthalpy at 0 K: -1535 meV per atom
- SG: P2/m